# NaAc2F8 GGA-PBE optimized geometry
data_NaAc2F8
_chemical_formula_sum 'Na1 Ac2 F8'
_cell_length_a 6.6829
_cell_length_b 6.6829
_cell_length_c 7.2827
_cell_angle_alpha 116.61
_cell_angle_beta 116.61
_cell_angle_gamma 38.58
_symmetry_space_group_name_H-M 'P 1'
_symmetry_Int_Tables_number 1
loop_
_symmetry_equiv_pos_as_xyz
'x,y,z'
loop_
_atom_site_label
_atom_site_type_symbol
_atom_site_fract_x
_atom_site_fract_y
_atom_site_fract_z
Na1 Na 0.0000 0.0000 0.0000
Ac1 Ac 0.1914 0.1914 0.6965
Ac2 Ac 0.8086 0.8086 0.3035
F1 F 0.0085 0.0085 0.3257
F2 F 0.2300 0.2300 0.0807
F3 F 0.3058 0.3058 0.4754
F4 F 0.4146 0.4146 0.8982
F5 F 0.5854 0.5854 0.1018
F6 F 0.6942 0.6942 0.5246
F7 F 0.7700 0.7700 0.9193
F8 F 0.9915 0.9915 0.6743
# Space-group type   C2/m (12)
# Energy relative to the elements, uncorrected   -3.4986 eV/atom

=====

# CrCdSe2Br GGA-PBE optimized geometry
data_CrCdSe2Br
_chemical_formula_sum 'Cr1 Cd1 Se2 Br1'
_cell_length_a 4.8991
_cell_length_b 4.8991
_cell_length_c 5.1117
_cell_angle_alpha 90.00
_cell_angle_beta 90.00
_cell_angle_gamma 90.00
_symmetry_space_group_name_H-M 'P 1'
_symmetry_Int_Tables_number 1
loop_
_symmetry_equiv_pos_as_xyz
'x,y,z'
loop_
_atom_site_label
_atom_site_type_symbol
_atom_site_fract_x
_atom_site_fract_y
_atom_site_fract_z
Cr1 Cr 0.0000 0.0000 0.0000
Cd1 Cd 0.5000 0.5000 0.5000
Se1 Se 0.0000 0.5000 0.0000
Se2 Se 0.5000 0.0000 0.0000
Br1 Br 0.0000 0.0000 0.5000
# Excess energy over the best structure of this formula in the dataset   0 meV per atom
# Space-group type   P4/mmm (123)
# Energy relative to the elements, uncorrected   -0.0477 eV/atom
# Density of states at the Fermi level   4.3 states/eV per cell

=====

# CaTmHgBi GGA-PBE optimized geometry
data_CaTmHgBi
_chemical_formula_sum 'Ca1 Tm1 Hg1 Bi1'
_cell_length_a 5.4188
_cell_length_b 5.4188
_cell_length_c 5.4188
_cell_angle_alpha 60.00
_cell_angle_beta 60.00
_cell_angle_gamma 60.00
_symmetry_space_group_name_H-M 'P 1'
_symmetry_Int_Tables_number 1
loop_
_symmetry_equiv_pos_as_xyz
'x,y,z'
loop_
_atom_site_label
_atom_site_type_symbol
_atom_site_fract_x
_atom_site_fract_y
_atom_site_fract_z
Ca1 Ca 0.0000 0.0000 0.0000
Tm1 Tm 0.5000 0.5000 0.5000
Hg1 Hg 0.7500 0.7500 0.7500
Bi1 Bi 0.2500 0.2500 0.2500
# Space-group type   F-43m (216)
# E_form   -2.007 eV/f.u.
# Density of states at the Fermi level   5.0 states/eV per cell

=====

# PmZn2PtO6 GGA-PBE optimized geometry
data_PmZn2PtO6
_chemical_formula_sum 'Pm2 Zn4 Pt2 O12'
_cell_length_a 6.7851
_cell_length_b 6.7851
_cell_length_c 5.7628
_cell_angle_alpha 94.92
_cell_angle_beta 94.92
_cell_angle_gamma 92.70
_symmetry_space_group_name_H-M 'P 1'
_symmetry_Int_Tables_number 1
loop_
_symmetry_equiv_pos_as_xyz
'x,y,z'
loop_
_atom_site_label
_atom_site_type_symbol
_atom_site_fract_x
_atom_site_fract_y
_atom_site_fract_z
Pm1 Pm 0.0998 0.9002 0.7500
Pm2 Pm 0.9002 0.0998 0.2500
Zn1 Zn 0.2439 0.4188 0.6992
Zn2 Zn 0.4188 0.2439 0.1992
Zn3 Zn 0.5812 0.7561 0.8008
Zn4 Zn 0.7561 0.5812 0.3008
Pt1 Pt 0.2721 0.7279 0.2500
Pt2 Pt 0.7279 0.2721 0.7500
O1 O 0.0077 0.2249 0.6376
O2 O 0.1597 0.6217 0.9296
O3 O 0.2249 0.0077 0.1376
O4 O 0.2775 0.4562 0.3619
O5 O 0.3783 0.8403 0.5704
O6 O 0.4562 0.2775 0.8619
O7 O 0.5438 0.7225 0.1381
O8 O 0.6217 0.1597 0.4296
O9 O 0.7225 0.5438 0.6381
O10 O 0.7751 0.9923 0.8624
O11 O 0.8403 0.3783 0.0704
O12 O 0.9923 0.7751 0.3624
# Space-group type   C2/c (15)
# Energy relative to the elements, uncorrected   -1.4628 eV/atom
# Density of states at the Fermi level   13.1 states/eV per cell

=====

# HfInCuIr GGA-PBE optimized geometry
data_HfInCuIr
_chemical_formula_sum 'Hf1 In1 Cu1 Ir1'
_cell_length_a 4.5902
_cell_length_b 4.5902
_cell_length_c 4.5902
_cell_angle_alpha 60.00
_cell_angle_beta 60.00
_cell_angle_gamma 60.00
_symmetry_space_group_name_H-M 'P 1'
_symmetry_Int_Tables_number 1
loop_
_symmetry_equiv_pos_as_xyz
'x,y,z'
loop_
_atom_site_label
_atom_site_type_symbol
_atom_site_fract_x
_atom_site_fract_y
_atom_site_fract_z
Hf1 Hf 0.0000 0.0000 0.0000
In1 In 0.5000 0.5000 0.5000
Cu1 Cu 0.2500 0.2500 0.2500
Ir1 Ir 0.7500 0.7500 0.7500
# Space-group type   F-43m (216)
# E_form   -1.655 eV/f.u.
# Density of states at the Fermi level   3.6 states/eV per cell

=====

# HfAsS2 GGA-PBE optimized geometry
data_HfAsS2
_chemical_formula_sum 'Hf1 As1 S2'
_cell_length_a 8.3117
_cell_length_b 8.3117
_cell_length_c 8.3117
_cell_angle_alpha 24.18
_cell_angle_beta 24.18
_cell_angle_gamma 24.18
_symmetry_space_group_name_H-M 'P 1'
_symmetry_Int_Tables_number 1
loop_
_symmetry_equiv_pos_as_xyz
'x,y,z'
loop_
_atom_site_label
_atom_site_type_symbol
_atom_site_fract_x
_atom_site_fract_y
_atom_site_fract_z
Hf1 Hf 0.0000 0.0000 0.0000
As1 As 0.5000 0.5000 0.5000
S1 S 0.1023 0.1023 0.1023
S2 S 0.8977 0.8977 0.8977
# Space-group type   R-3m (166)
# Energy relative to the elements, uncorrected   -0.0373 eV/atom
# Density of states at the Fermi level   2.6 states/eV per cell

=====

# KReAg2F8 GGA-PBE optimized geometry
data_KReAg2F8
_chemical_formula_sum 'K1 Re1 Ag2 F8'
_cell_length_a 5.3205
_cell_length_b 5.3205
_cell_length_c 8.5109
_cell_angle_alpha 90.00
_cell_angle_beta 90.00
_cell_angle_gamma 120.00
_symmetry_space_group_name_H-M 'P 1'
_symmetry_Int_Tables_number 1
loop_
_symmetry_equiv_pos_as_xyz
'x,y,z'
loop_
_atom_site_label
_atom_site_type_symbol
_atom_site_fract_x
_atom_site_fract_y
_atom_site_fract_z
K1 K 0.0000 0.0000 0.0000
Re1 Re 0.0000 0.0000 0.5000
Ag1 Ag 0.3333 0.6667 0.2222
Ag2 Ag 0.6667 0.3333 0.7778
F1 F 0.1639 0.3277 0.6391
F2 F 0.1639 0.8361 0.6391
F3 F 0.3277 0.1639 0.3609
F4 F 0.3333 0.6667 0.9728
F5 F 0.6667 0.3333 0.0272
F6 F 0.6723 0.8361 0.6391
F7 F 0.8361 0.1639 0.3609
F8 F 0.8361 0.6723 0.3609
# Space-group type   P-3m1 (164)
# Energy relative to the elements, uncorrected   -1.7103 eV/atom
# Density of states at the Fermi level   9.0 states/eV per cell

=====

# CaCrCl2 GGA-PBE optimized geometry
data_CaCrCl2
_chemical_formula_sum 'Ca1 Cr1 Cl2'
_cell_length_a 6.6637
_cell_length_b 6.6637
_cell_length_c 6.6637
_cell_angle_alpha 145.59
_cell_angle_beta 145.59
_cell_angle_gamma 49.46
_symmetry_space_group_name_H-M 'P 1'
_symmetry_Int_Tables_number 1
loop_
_symmetry_equiv_pos_as_xyz
'x,y,z'
loop_
_atom_site_label
_atom_site_type_symbol
_atom_site_fract_x
_atom_site_fract_y
_atom_site_fract_z
Ca1 Ca 0.0000 0.0000 0.0000
Cr1 Cr 0.7500 0.2500 0.5000
Cl1 Cl 0.2500 0.7500 0.5000
Cl2 Cl 0.5000 0.5000 0.0000
# Excess energy over the best structure of this formula in the dataset   229 meV per atom
# Space-group type   I-4m2 (119)
# Energy relative to the elements, uncorrected   -0.6985 eV/atom
# Density of states at the Fermi level   2.1 states/eV per cell

=====

# K2BaRe GGA-PBE optimized geometry
data_K2BaRe
_chemical_formula_sum 'K2 Ba1 Re1'
_cell_length_a 3.0735
_cell_length_b 6.2506
_cell_length_c 6.8577
_cell_angle_alpha 90.00
_cell_angle_beta 90.00
_cell_angle_gamma 90.00
_symmetry_space_group_name_H-M 'P 1'
_symmetry_Int_Tables_number 1
loop_
_symmetry_equiv_pos_as_xyz
'x,y,z'
loop_
_atom_site_label
_atom_site_type_symbol
_atom_site_fract_x
_atom_site_fract_y
_atom_site_fract_z
K1 K 0.0000 0.0000 0.2197
K2 K 0.0000 0.0000 0.7803
Ba1 Ba 0.5000 0.5000 0.5000
Re1 Re 0.5000 0.5000 0.0000
# Excess energy over the best structure of this formula in the dataset   330 meV per atom
# Space-group type   Pmmm (47)
# E_form   5.782 eV/f.u.
# Density of states at the Fermi level   4.9 states/eV per cell

=====

# La8Ag2C GGA-PBE optimized geometry
data_La8Ag2C
_chemical_formula_sum 'La8 Ag2 C1'
_cell_length_a 9.5653
_cell_length_b 9.5653
_cell_length_c 9.6657
_cell_angle_alpha 98.26
_cell_angle_beta 98.26
_cell_angle_gamma 23.37
_symmetry_space_group_name_H-M 'P 1'
_symmetry_Int_Tables_number 1
loop_
_symmetry_equiv_pos_as_xyz
'x,y,z'
loop_
_atom_site_label
_atom_site_type_symbol
_atom_site_fract_x
_atom_site_fract_y
_atom_site_fract_z
La1 La 0.0116 0.0116 0.1886
La2 La 0.2048 0.2048 0.3547
La3 La 0.3617 0.3617 0.9893
La4 La 0.4043 0.4043 0.4555
La5 La 0.5957 0.5957 0.5445
La6 La 0.6383 0.6383 0.0107
La7 La 0.7952 0.7952 0.6453
La8 La 0.9884 0.9884 0.8114
Ag1 Ag 0.1817 0.1817 0.7662
Ag2 Ag 0.8183 0.8183 0.2338
C1 C 0.5000 0.5000 0.0000
# Space-group type   C2/m (12)
# E_form   -0.867 eV/f.u.
# Density of states at the Fermi level   15.5 states/eV per cell

=====

# NpTlCl4 GGA-PBE optimized geometry
data_NpTlCl4
_chemical_formula_sum 'Np2 Tl2 Cl8'
_cell_length_a 8.3428
_cell_length_b 8.3428
_cell_length_c 6.7050
_cell_angle_alpha 106.88
_cell_angle_beta 106.88
_cell_angle_gamma 111.19
_symmetry_space_group_name_H-M 'P 1'
_symmetry_Int_Tables_number 1
loop_
_symmetry_equiv_pos_as_xyz
'x,y,z'
loop_
_atom_site_label
_atom_site_type_symbol
_atom_site_fract_x
_atom_site_fract_y
_atom_site_fract_z
Np1 Np 0.0155 0.9845 0.7500
Np2 Np 0.9845 0.0155 0.2500
Tl1 Tl 0.3642 0.6358 0.2500
Tl2 Tl 0.6358 0.3642 0.7500
Cl1 Cl 0.0570 0.7434 0.9421
Cl2 Cl 0.2107 0.3259 0.7003
Cl3 Cl 0.2566 0.9430 0.5579
Cl4 Cl 0.3259 0.2107 0.2003
Cl5 Cl 0.6741 0.7893 0.7997
Cl6 Cl 0.7434 0.0570 0.4421
Cl7 Cl 0.7893 0.6741 0.2997
Cl8 Cl 0.9430 0.2566 0.0579
# Excess energy over the best structure of this formula in the dataset   21 meV per atom
# Space-group type   C2/c (15)
# Energy relative to the elements, uncorrected   -1.4553 eV/atom
# Density of states at the Fermi level   13.6 states/eV per cell